# 1
## PuH10Rh3 (PBE)

Data for a geometry-optimized PuH10Rh3 structure.

- crystal system = cubic

Cell: 6.655 6.655 6.655 Å, 60.00 60.00 60.00°
Each line ends with the local moment (μB).
Fractional positions:
Rh1 0.736 0.264 0.736  0.09
Rh2 0.264 0.736 0.736  0.09
Rh3 0.736 0.736 0.264  0.09
Rh4 0.736 0.264 0.264  0.09
H1 0.321 0.679 0.000  0.00
H2 0.000 0.000 0.321  0.00
H3 0.000 0.321 0.000  0.00
H4 0.393 0.393 0.821  0.00
Rh5 0.264 0.264 0.736  0.09
H5 0.000 0.321 0.679  0.00
H6 0.393 0.821 0.393  0.00
H7 0.607 0.607 0.607  0.00
H8 0.607 0.179 0.607  0.00
H9 0.607 0.607 0.179  0.00
H10 0.821 0.393 0.393  0.00
H11 0.179 0.607 0.607  0.00
H12 0.679 0.000 0.000  0.00
H13 0.000 0.679 0.000  0.00
H14 0.679 0.000 0.321  0.00
H15 0.000 0.000 0.679  0.00
H16 0.000 0.679 0.321  0.00
H17 0.321 0.000 0.000  0.00
Pu1 0.250 0.250 0.250  5.24
H18 0.679 0.321 0.000  0.00
Pu2 0.750 0.750 0.750  5.24
H19 0.321 0.000 0.679  0.00
H20 0.393 0.393 0.393  0.00
Rh6 0.264 0.736 0.264  0.09



# 2
## Pu2H3Rh (PBE)

Data for a geometry-optimized Pu2H3Rh structure.

- crystal system = monoclinic

Cell: 3.524 6.709 5.921 Å, 109.68 107.31 90.00°
Fractional positions:
H1 0.802 0.981 0.836
H2 0.198 0.019 0.164
Pu1 0.826 0.128 0.407
Pu2 0.581 0.628 0.407
H3 0.034 0.481 0.836
Rh1 0.951 0.250 0.000
H4 0.966 0.519 0.164
Rh2 0.049 0.750 0.000
Pu3 0.419 0.372 0.593
Pu4 0.174 0.872 0.593
H5 0.465 0.250 0.000
H6 0.535 0.750 0.000



# 3
## PuH9Rh2 (PBE)

Data for a geometry-optimized PuH9Rh2 structure.

- crystal system = tetragonal

Cell: 5.101 6.466 6.466 Å, 81.05 66.77 66.77°
Each line ends with the local moment (μB).
Fractional positions:
H1 0.594 0.139 0.364  -0.01
H2 0.708 0.639 0.136  -0.01
H3 0.097 0.861 0.636  -0.01
H4 0.156 0.361 0.136  -0.01
H5 0.097 0.636 0.861  -0.01
H6 0.750 0.500 0.500  0.00
H7 0.708 0.136 0.639  -0.01
H8 0.267 0.139 0.636  -0.01
Pu1 0.500 0.000 0.000  4.93
H9 0.653 0.864 0.639  -0.01
Rh1 0.875 0.750 0.250  -0.03
H10 0.000 0.000 0.000  0.00
Rh2 0.375 0.750 0.750  -0.03
Rh3 0.875 0.250 0.750  -0.03
H11 0.156 0.136 0.361  -0.01
H12 0.483 0.361 0.864  -0.01
H13 0.653 0.639 0.864  -0.01
H14 0.267 0.636 0.139  -0.01
Rh4 0.875 0.250 0.250  -0.03
H15 0.042 0.861 0.364  -0.01
H16 0.594 0.364 0.139  -0.01
H17 0.483 0.864 0.361  -0.01
H18 0.042 0.364 0.861  -0.01
Pu2 0.250 0.500 0.500  4.93



# 4
## Pu2H10Rh3 (PBE)

Data for a geometry-optimized Pu2H10Rh3 structure.

- crystal system = triclinic

Cell: 5.339 7.089 8.308 Å, 111.96 108.68 89.95°
Each line ends with the local moment (μB).
Fractional positions:
H1 0.967 0.807 0.932  0.00
H2 0.146 0.989 0.776  -0.01
H3 0.206 0.500 0.000  -0.01
H4 0.135 0.747 0.269  -0.01
Rh1 0.184 0.020 0.368  0.06
Rh2 0.914 0.527 0.829  -0.08
H5 0.794 0.500 0.000  -0.01
H6 0.370 0.012 0.224  -0.01
Rh3 0.247 0.001 0.000  -0.02
H7 0.913 0.505 0.322  -0.01
Rh4 0.816 0.980 0.632  0.06
H8 0.087 0.495 0.678  -0.01
Pu1 0.704 0.300 0.407  5.21
H9 0.500 0.000 0.500  -0.01
H10 0.409 0.505 0.322  -0.01
H11 0.530 0.177 0.059  -0.01
Rh5 0.753 0.999 0.000  -0.02
H12 0.241 0.289 0.480  -0.02
H13 0.854 0.011 0.224  -0.01
H14 0.865 0.253 0.731  -0.01
H15 0.759 0.711 0.520  -0.02
H16 0.630 0.988 0.776  -0.01
H17 0.000 0.000 0.500  -0.01
Rh6 0.086 0.473 0.171  -0.08
H18 0.033 0.193 0.068  0.00
Pu2 0.395 0.277 0.789  5.22
Pu3 0.605 0.723 0.211  5.22
H19 0.591 0.495 0.678  -0.01
Pu4 0.296 0.700 0.593  5.21
H20 0.470 0.823 0.941  -0.01



# 5
## Pu3Sb2H4Rh2 (PBE)

Data for a geometry-optimized Pu3Sb2H4Rh2 structure.

- crystal system = tetragonal

Cell: 3.879 3.879 11.573 Å, 99.65 99.65 90.00°
Each line ends with the local moment (μB).
Fractional positions:
H1 0.930 0.430 0.861  -0.01
H2 0.570 0.070 0.139  -0.01
Pu1 0.000 0.000 0.000  5.28
H3 0.070 0.570 0.139  -0.01
Rh1 0.569 0.569 0.138  -0.17
Pu2 0.139 0.139 0.278  5.25
H4 0.430 0.930 0.861  -0.01
Sb1 0.708 0.708 0.417  -0.03
Rh2 0.431 0.431 0.862  -0.17
Sb2 0.292 0.292 0.583  -0.03
Pu3 0.861 0.861 0.722  5.25



# 6
## Pu2Si2HRh2 (PBE)

Data for a geometry-optimized Pu2Si2HRh2 structure.

- crystal system = monoclinic

Cell: 4.076 5.726 5.726 Å, 73.04 69.15 69.15°
Each line ends with the local moment (μB).
Fractional positions:
H1 0.000 0.000 0.000  -0.01
Rh1 0.212 0.687 0.889  -0.05
Pu1 0.433 0.847 0.287  5.18
Si1 0.143 0.407 0.307  -0.02
Si2 0.857 0.593 0.693  -0.02
Pu2 0.567 0.153 0.713  5.18
Rh2 0.788 0.313 0.111  -0.05



# 7
## Sm2PuH12Rh3 (PBE)

Data for a geometry-optimized Sm2PuH12Rh3 structure.

- crystal system = trigonal

Cell: 6.185 6.185 6.185 Å, 62.83 62.83 62.83°
Each line ends with the local moment (μB).
Fractional positions:
H1 0.861 0.433 0.861  0.00
H2 0.139 0.567 0.139  0.00
H3 0.862 0.282 0.282  0.00
Rh1 0.000 0.000 0.500  0.22
H4 0.567 0.139 0.139  0.00
H5 0.718 0.138 0.718  0.00
H6 0.433 0.861 0.861  0.00
H7 0.139 0.139 0.567  0.00
Sm1 0.613 0.613 0.613  0.32
Sm2 0.387 0.387 0.387  0.32
H8 0.282 0.282 0.862  0.00
H9 0.718 0.718 0.138  0.00
H10 0.282 0.862 0.282  0.00
H11 0.861 0.861 0.433  0.00
Rh2 0.500 0.000 0.000  0.22
Rh3 0.000 0.500 0.000  0.22
Pu1 0.000 0.000 0.000  5.22
H12 0.138 0.718 0.718  0.00



# 8
## SmPuH8Rh2 (PBE)

Data for a geometry-optimized SmPuH8Rh2 structure.

- crystal system = trigonal

Cell: 4.600 4.600 6.835 Å, 70.33 70.33 60.00°
Each line ends with the local moment (μB).
Fractional positions:
Rh1 0.772 0.772 0.685  -0.01
Sm1 0.000 0.000 0.000  -0.01
Rh2 0.228 0.228 0.315  -0.01
Pu1 0.500 0.500 0.500  4.96
H1 0.456 0.456 0.171  0.00
H2 0.544 0.544 0.829  0.00
H3 0.084 0.544 0.829  0.00
H4 0.864 0.864 0.407  -0.01
H5 0.544 0.084 0.829  0.00
H6 0.456 0.916 0.171  0.00
H7 0.136 0.136 0.593  -0.01
H8 0.916 0.456 0.171  0.00



# 9
## PuSnHRh2 (PBE)

Data for a geometry-optimized PuSnHRh2 structure.

- crystal system = orthorhombic

Cell: 3.208 6.681 7.733 Å, 90.00 90.00 103.89°
Each line ends with the local moment (μB).
Fractional positions:
Pu1 0.485 0.970 0.750  5.09
Rh1 0.138 0.277 0.553  -0.11
H1 0.000 0.000 0.000  -0.01
Sn1 0.760 0.520 0.750  -0.01
Sn2 0.240 0.480 0.250  -0.01
Rh2 0.862 0.723 0.447  -0.11
Rh3 0.862 0.723 0.053  -0.11
Pu2 0.515 0.030 0.250  5.09
Rh4 0.138 0.277 0.947  -0.11
H2 0.000 0.000 0.500  -0.01



# 10
## Pu2SnH12Rh3 (PBE)

Data for a geometry-optimized Pu2SnH12Rh3 structure.

- crystal system = trigonal

Cell: 6.153 6.153 6.153 Å, 62.44 62.44 62.44°
Each line ends with the local moment (μB).
Fractional positions:
H1 0.856 0.452 0.856  -0.01
H2 0.144 0.144 0.548  -0.01
H3 0.311 0.311 0.857  -0.01
Rh1 0.000 0.000 0.500  0.16
H4 0.144 0.548 0.144  -0.01
Pu1 0.604 0.604 0.604  5.56
H5 0.452 0.856 0.856  -0.01
H6 0.548 0.144 0.144  -0.01
Pu2 0.396 0.396 0.396  5.56
H7 0.856 0.856 0.452  -0.01
Sn1 0.000 0.000 0.000  0.01
H8 0.311 0.857 0.311  -0.01
H9 0.143 0.689 0.689  -0.01
H10 0.689 0.143 0.689  -0.01
Rh2 0.000 0.500 0.000  0.16
H11 0.857 0.311 0.311  -0.01
Rh3 0.500 0.000 0.000  0.16
H12 0.689 0.689 0.143  -0.01



# 11
## PuSnH8Rh2 (PBE)

Data for a geometry-optimized PuSnH8Rh2 structure.

- crystal system = trigonal

Cell: 3.921 3.921 8.761 Å, 77.07 77.07 60.00°
Each line ends with the local moment (μB).
Fractional positions:
H1 0.316 0.737 0.752  0.00
Pu1 0.500 0.500 0.500  5.05
H2 0.263 0.805 0.248  0.00
H3 0.805 0.684 0.248  0.00
Rh1 0.253 0.253 0.242  0.12
H4 0.195 0.316 0.752  0.00
H5 0.815 0.815 0.555  -0.01
H6 0.737 0.195 0.752  0.00
Rh2 0.747 0.747 0.758  0.12
Sn1 0.000 0.000 0.000  -0.01
H7 0.684 0.263 0.248  0.00
H8 0.185 0.185 0.445  -0.01



# 12
## PuTlH8Rh2 (PBE)

Data for a geometry-optimized PuTlH8Rh2 structure.

- crystal system = trigonal

Cell: 4.816 4.816 7.477 Å, 71.21 71.21 60.00°
Each line ends with the local moment (μB).
Fractional positions:
H1 0.588 0.588 0.774  -0.01
Rh1 0.209 0.209 0.373  0.01
H2 0.051 0.588 0.774  -0.01
Rh2 0.791 0.791 0.627  0.01
H3 0.129 0.129 0.614  0.00
H4 0.412 0.412 0.226  -0.01
H5 0.588 0.051 0.774  -0.01
H6 0.949 0.412 0.226  -0.01
Tl1 0.000 0.000 0.000  0.01
Pu1 0.500 0.500 0.500  4.92
H7 0.871 0.871 0.386  0.00
H8 0.412 0.949 0.226  -0.01



# 13
## Pu2Zn2HRh2 (PBE)

Data for a geometry-optimized Pu2Zn2HRh2 structure.

- crystal system = monoclinic

Cell: 4.491 5.946 5.477 Å, 70.44 65.80 67.81°
Each line ends with the local moment (μB).
Fractional positions:
Pu1 0.556 0.169 0.719  5.19
Rh1 0.208 0.756 0.829  -0.19
Zn1 0.155 0.415 0.275  0.02
Zn2 0.845 0.585 0.725  0.02
Rh2 0.792 0.244 0.171  -0.19
Pu2 0.444 0.831 0.281  5.19
H1 0.000 0.000 0.000  -0.01



# 14
## Pu2ZnH12Rh3 (PBE)

Data for a geometry-optimized Pu2ZnH12Rh3 structure.

- crystal system = trigonal

Cell: 5.890 5.890 5.890 Å, 64.38 64.38 64.38°
Each line ends with the local moment (μB).
Fractional positions:
Rh1 0.500 0.000 0.000  0.22
H1 0.882 0.374 0.882  -0.01
H2 0.669 0.669 0.132  -0.01
H3 0.331 0.868 0.331  -0.01
H4 0.374 0.882 0.882  -0.01
H5 0.331 0.331 0.868  -0.01
H6 0.868 0.331 0.331  -0.01
Pu1 0.384 0.384 0.384  5.61
H7 0.118 0.626 0.118  -0.01
Rh2 0.000 0.500 0.000  0.22
Zn1 0.000 0.000 0.000  0.01
H8 0.882 0.882 0.374  -0.01
H9 0.669 0.132 0.669  -0.01
Rh3 0.000 0.000 0.500  0.22
H10 0.132 0.669 0.669  -0.01
H11 0.118 0.118 0.626  -0.01
Pu2 0.616 0.616 0.616  5.61
H12 0.626 0.118 0.118  -0.01



# 15
## Pu3H6Ru (PBE)

Data for a geometry-optimized Pu3H6Ru structure.

- crystal system = orthorhombic

Cell: 4.698 7.161 7.161 Å, 108.45 90.00 90.00°
Each line ends with the local moment (μB).
Fractional positions:
H1 0.118 0.045 0.955  -0.02
H2 0.974 0.342 0.658  0.00
Pu1 0.989 0.067 0.318  5.24
Pu2 0.481 0.391 0.609  -5.12
H3 0.235 0.335 0.332  0.00
H4 0.735 0.665 0.668  0.00
H5 0.235 0.668 0.665  0.00
H6 0.735 0.332 0.335  0.00
H7 0.488 0.033 0.396  -0.01
Ru1 0.488 0.811 0.189  -0.23
H8 0.988 0.967 0.604  -0.01
H9 0.618 0.955 0.045  -0.02
H10 0.474 0.658 0.342  0.00
H11 0.488 0.604 0.967  -0.01
Pu3 0.981 0.609 0.391  -5.12
Pu4 0.489 0.933 0.682  5.24
Ru2 0.988 0.189 0.811  -0.23
H12 0.988 0.396 0.033  -0.01
Pu5 0.989 0.682 0.933  5.24
Pu6 0.489 0.318 0.067  5.24



# 16
## PuH6Ru (PBE)

Data for a geometry-optimized PuH6Ru structure.

- crystal system = trigonal

Cell: 4.391 4.391 4.500 Å, 60.80 60.80 60.00°
Each line ends with the local moment (μB).
Fractional positions:
H1 0.455 0.895 0.754  -0.02
H2 0.105 0.105 0.246  -0.02
Pu1 0.500 0.500 0.500  4.62
H3 0.895 0.455 0.754  -0.02
Ru1 0.000 0.000 0.000  -0.46
H4 0.895 0.895 0.754  -0.02
H5 0.545 0.105 0.246  -0.02
H6 0.105 0.545 0.246  -0.02



# 17
## Pu2H7Ru2 (PBE)

Data for a geometry-optimized Pu2H7Ru2 structure.

- crystal system = orthorhombic

Cell: 3.197 5.849 5.849 Å, 111.57 89.97 89.97°
Each line ends with the local moment (μB).
Fractional positions:
H1 0.001 0.457 0.109  -0.02
H2 0.000 0.000 0.000  -0.01
H3 0.500 0.372 0.372  0.00
H4 0.500 0.628 0.628  0.00
Pu1 0.500 0.778 0.222  5.41
H5 0.001 0.109 0.457  -0.02
Ru1 0.000 0.725 0.725  -0.09
Pu2 0.500 0.222 0.778  5.41
Ru2 0.000 0.275 0.275  -0.09
H6 0.999 0.543 0.891  -0.02
H7 0.999 0.891 0.543  -0.02



# 18
## PuH6Ru2 (PBE)

Data for a geometry-optimized PuH6Ru2 structure.

- crystal system = monoclinic

Cell: 4.132 4.132 5.019 Å, 98.30 98.30 94.81°
Each line ends with the local moment (μB).
Fractional positions:
Pu1 0.500 0.000 0.000  5.13
H1 0.342 0.842 0.521  0.00
H2 0.658 0.158 0.479  0.00
H3 0.572 0.505 0.738  0.00
Ru1 0.247 0.253 0.500  -0.24
Ru2 0.753 0.747 0.500  -0.24
H4 0.995 0.928 0.262  0.00
H5 0.005 0.072 0.738  0.00
H6 0.428 0.495 0.262  0.00



Number 1: energy -5.087 eV/atom, density of states at the Fermi level 35.3 states/eV/cell. Number 2: energy -7.726 eV/atom, density of states at the Fermi level 13.8 states/eV/cell. Number 3: energy -4.783 eV/atom, density of states at the Fermi level 24.4 states/eV/cell. Number 4: energy -5.885 eV/atom, density of states at the Fermi level 52.1 states/eV/cell. Number 5: energy -7.568 eV/atom, density of states at the Fermi level 27.9 states/eV/cell. Number 6: energy -8.863 eV/atom, density of states at the Fermi level 18.4 states/eV/cell. Number 7: energy -5.077 eV/atom, density of states at the Fermi level 18.6 states/eV/cell. Number 8: energy -5.291 eV/atom, density of states at the Fermi level 11.4 states/eV/cell. Number 9: energy -7.700 eV/atom, density of states at the Fermi level 21.0 states/eV/cell. Number 10: energy -5.367 eV/atom, density of states at the Fermi level 20.9 states/eV/cell. Number 11: energy -4.960 eV/atom, density of states at the Fermi level 12.4 states/eV/cell. Number 12: energy -4.825 eV/atom, density of states at the Fermi level 11.7 states/eV/cell. Number 13: energy -7.355 eV/atom, density of states at the Fermi level 19.3 states/eV/cell. Number 14: energy -5.284 eV/atom, density of states at the Fermi level 20.1 states/eV/cell. Number 15: energy -7.498 eV/atom, density of states at the Fermi level 50.7 states/eV/cell. Number 16: energy -5.605 eV/atom, density of states at the Fermi level 8.9 states/eV/cell. Number 17: energy -6.618 eV/atom, density of states at the Fermi level 13.4 states/eV/cell. Number 18: energy -5.865 eV/atom, density of states at the Fermi level 11.4 states/eV/cell.